Record 1
# CsMg

CsMg after structural relaxation (PBE, Alexandria).

```
CsMg
1.0
-5.9695 5.9695 5.9695
5.9695 -5.9695 5.9695
5.9695 5.9695 -5.9695
Cs Mg
4 4
Direct
0.0000 0.0000 0.4215
0.0000 0.4215 0.0000
0.4215 0.0000 0.0000
0.5785 0.5785 0.5785
0.0000 0.0000 0.8171
0.0000 0.8171 0.0000
0.1829 0.1829 0.1829
0.8171 0.0000 0.0000
```

Properties
Calculated total energy, eV per cell: -6.84
Space-group type: I-43m
Crystal system: cubic
Energy of formation, eV per atom: 0.37

Record 2
# CsMg

CsMg after structural relaxation (PBE, Alexandria).

```
CsMg
1.0
10.3948 0.0000 0.0000
0.0000 5.8210 0.0000
0.0000 0.0000 14.7487
Cs Mg
8 8
Direct
0.0461 0.2500 0.1252
0.1982 0.7500 0.3339
0.3018 0.2500 0.8339
0.4538 0.7500 0.6252
0.5462 0.2500 0.3748
0.6982 0.7500 0.1661
0.8018 0.2500 0.6661
0.9538 0.7500 0.8748
0.0643 0.7500 0.5824
0.1719 0.2500 0.5494
0.3281 0.7500 0.0494
0.4357 0.2500 0.0824
0.5643 0.7500 0.9176
0.6719 0.2500 0.9506
0.8281 0.7500 0.4506
0.9357 0.2500 0.4176
```

Properties
Calculated total energy, eV per cell: -16.59
Space-group type: Pnma
Crystal system: orthorhombic
Energy of formation, eV per atom: 0.19

Record 3
# CsMg

CsMg after structural relaxation (PBE, Alexandria).

```
CsMg
1.0
-2.7109 8.2575 3.9487
2.7109 -8.2575 3.9487
2.7109 8.2575 -3.9487
Cs Mg
3 3
Direct
0.0000 0.0000 0.0000
0.0747 0.3517 0.7230
0.6287 0.3517 0.2770
0.3055 0.8947 0.4108
0.4838 0.8947 0.5892
0.4850 0.4850 0.0000
```

Properties
Calculated total energy, eV per cell: -6.09
Space-group type: Imm2
Crystal system: orthorhombic
Energy of formation, eV per atom: 0.21

Please write out number 2 again, unchanged.
# CsMg

CsMg after structural relaxation (PBE, Alexandria).

```
CsMg
1.0
10.3948 0.0000 0.0000
0.0000 5.8210 0.0000
0.0000 0.0000 14.7487
Cs Mg
8 8
Direct
0.0461 0.2500 0.1252
0.1982 0.7500 0.3339
0.3018 0.2500 0.8339
0.4538 0.7500 0.6252
0.5462 0.2500 0.3748
0.6982 0.7500 0.1661
0.8018 0.2500 0.6661
0.9538 0.7500 0.8748
0.0643 0.7500 0.5824
0.1719 0.2500 0.5494
0.3281 0.7500 0.0494
0.4357 0.2500 0.0824
0.5643 0.7500 0.9176
0.6719 0.2500 0.9506
0.8281 0.7500 0.4506
0.9357 0.2500 0.4176
```

Properties
Calculated total energy, eV per cell: -16.59
Space-group type: Pnma
Crystal system: orthorhombic
Energy of formation, eV per atom: 0.19

Among the records above, which one has the highest energy of formation?
number 1

Look up the calculated total energy of the second one.
-16.59 eV per cell